[1]
Material: Li4In3Au4
Method: DFT, GGA-PBE
State: optimized geometry

abc: 3.287 3.652 16.864
angles: 96.31 96.23 89.97
Element x y z (fractional)
Au1 0.193 0.188 0.376
Au2 0.454 0.452 0.895
Au3 0.807 0.812 0.624
Au4 0.546 0.548 0.105
Li1 0.268 0.272 0.544
Li2 0.087 0.087 0.178
Li3 0.732 0.728 0.456
Li4 0.913 0.913 0.822
In1 0.358 0.360 0.721
In2 0.642 0.640 0.279
In3 0.000 0.000 0.000

- Space group: No. 2
- DOS(E_F): 2.49 states/eV per cell
- Polymorph energy (0 for the lowest one): 0 meV/atom

---

[2]
Material: LiInAu2
Method: DFT, GGA-PBE
State: optimized geometry

abc: 4.548 4.548 6.205
angles: 83.29 83.29 36.72
Element x y z (fractional)
Au1 0.005 0.005 0.963
Au2 0.495 0.495 0.537
In1 0.250 0.250 0.250
Li1 0.750 0.750 0.750

- Total energy: -0.11341 hartree per atom
- Space group: No. 12
- DOS(E_F): 1.10 states/eV per cell

---

[3]
Material: Li3InAu3
Method: DFT, GGA-PBE
State: optimized geometry

abc: 6.973 6.973 6.973
angles: 90.00 90.00 90.00
Element x y z (fractional)
Li1 0.000 0.250 0.500
Li2 0.000 0.750 0.500
Li3 0.500 0.000 0.250
Li4 0.750 0.500 0.000
Li5 0.250 0.500 0.000
Li6 0.500 0.000 0.750
Au1 0.750 0.000 0.500
Au2 0.500 0.250 0.000
Au3 0.500 0.750 0.000
Au4 0.000 0.500 0.250
Au5 0.250 0.000 0.500
Au6 0.000 0.500 0.750
In1 0.500 0.500 0.500
In2 0.000 0.000 0.000

- Space group: No. 223
- DOS(E_F): 4.79 states/eV per cell
- Polymorph energy (0 for the lowest one): 408 meV/atom